Record 1
## LaY2Cu (PBE)

Data for an optimized crystal structure of LaY2Cu.

Cell: 4.9444 4.7282 4.7282 Å, 90.00 90.00 90.00°
Positions (direct):
Y  0.0000  0.5000  0.5000
Y  0.0000  0.0000  0.0000
Cu  0.5000  0.5000  0.0000
La  0.5000  0.0000  0.5000

Properties
The symmetry is P4/mmm (123). As for the offset from the most stable computed form: 251 meV per atom. The crystal system is tetragonal.

Record 2
## LaYCu2 (PBE)

Data for an optimized crystal structure of LaYCu2.

Cell: 4.8745 4.8745 4.8745 Å, 60.00 60.00 60.00°
Positions (direct):
Cu  0.2500  0.2500  0.2500
Cu  0.0000  0.0000  0.0000
La  0.5000  0.5000  0.5000
Y  0.7500  0.7500  0.7500

Properties
The symmetry is F-43m (216). As for the offset from the most stable computed form: 270 meV per atom. The crystal system is cubic.

Record 3
## La2YCu2 (PBE)

Data for an optimized crystal structure of La2YCu2.

Cell: 4.8390 4.8390 6.7134 Å, 68.88 68.88 90.00°
Positions (direct):
Cu  0.5992  0.5992  0.8017
Cu  0.4008  0.4008  0.1983
Y  0.0000  0.0000  0.0000
La  0.7500  0.2500  0.5000
La  0.2500  0.7500  0.5000

Properties
The symmetry is I4/mmm (139). As for the offset from the most stable computed form: 200 meV per atom. The crystal system is tetragonal.

Record 4
## LaY2Cu2 (PBE)

Data for an optimized crystal structure of LaY2Cu2.

Cell: 8.0036 8.0036 3.8417 Å, 90.00 90.00 90.00°
Positions (direct):
La  0.0000  0.0000  0.0000
La  0.5000  0.5000  0.0000
Cu  0.3811  0.8811  0.0000
Cu  0.6189  0.1189  0.0000
Cu  0.8811  0.6189  0.0000
Cu  0.1189  0.3811  0.0000
Y  0.6624  0.8376  0.5000
Y  0.1624  0.6624  0.5000
Y  0.8376  0.3376  0.5000
Y  0.3376  0.1624  0.5000

Properties
The symmetry is P4/mbm (127). As for the offset from the most stable computed form: 0 meV per atom. The crystal system is tetragonal.

Record 5
## La3YCu2 (PBE)

Data for an optimized crystal structure of La3YCu2.

Cell: 5.0668 7.1289 9.1514 Å, 90.00 90.00 90.00°
Positions (direct):
La  0.0000  0.4967  0.9172
La  0.5000  0.6430  0.1599
La  0.0000  0.9967  0.0828
La  0.0000  0.3540  0.3406
La  0.5000  0.1430  0.8401
La  0.0000  0.8540  0.6594
Cu  0.5000  0.2314  0.1601
Cu  0.0000  0.2685  0.6462
Cu  0.5000  0.7314  0.8399
Cu  0.0000  0.7685  0.3538
Y  0.5000  0.5064  0.5737
Y  0.5000  0.0064  0.4263

Properties
The symmetry is Pmc2_1 (26). The crystal system is orthorhombic.

Record 6
## LaY2Cu (PBE)

Data for an optimized crystal structure of LaY2Cu.

Cell: 10.1240 10.1240 10.1240 Å, 21.26 21.26 21.26°
Positions (direct):
Y  0.9803  0.9803  0.9803
Y  0.5197  0.5197  0.5197
La  0.7500  0.7500  0.7500
Cu  0.2500  0.2500  0.2500

Properties
The symmetry is R-3m (166). As for the offset from the most stable computed form: 123 meV per atom. The crystal system is trigonal.

Let's list formation enthalpy at 0 K in order: 0.16, 0.07, 0.08, -0.13, -0.11, 0.03 eV per atom.
Let's list N(E_F) in order: 6.0, 0.9, 6.7, 17.0, 11.8, 7.1 states/eV/cell.